No. 1
## ThPaTe (PBE-GGA)

Data for an optimized crystal structure of ThPaTe.

Structure (POSCAR):
```
ThPaTe
1.0
3.593 0.000 0.000
0.000 3.593 0.000
-1.796 -1.796 6.802
Pa Te Th
1 1 1
direct
0.350 0.350 0.700
0.993 0.993 0.986
0.657 0.657 0.314
```

Summary:
* space group: I4mm, No. 107
* DOS at the Fermi energy: 4.6 states/eV/f.u.
* crystal system: tetragonal
* calculated volume: 29.3 Å³/atom
* raw formation energy: -0.269 eV per atom


No. 2
## ThPaTe (PBE-GGA)

Data for an optimized crystal structure of ThPaTe.

Structure (POSCAR):
```
ThPaTe
1.0
3.846 0.000 0.000
0.000 7.221 -2.910
-1.923 -4.288 8.121
Th Te Pa
2 2 2
direct
0.348 0.821 0.695
0.652 0.179 0.305
0.944 0.668 0.888
0.056 0.332 0.112
0.313 0.179 0.627
0.687 0.821 0.373
```

Summary:
* space group: C2/m, No. 12
* DOS at the Fermi energy: 3.9 states/eV/f.u.
* crystal system: monoclinic
* calculated volume: 29.6 Å³/atom
* raw formation energy: -0.335 eV per atom


No. 3
## ThPaTe2 (PBE-GGA)

Data for an optimized crystal structure of ThPaTe2.

Structure (POSCAR):
```
ThPaTe2
1.0
3.797 0.000 0.000
0.000 3.797 0.000
0.000 0.000 7.605
Pa Te Th
1 2 1
direct
0.500 0.500 0.000
0.000 0.000 0.758
0.000 0.000 0.242
0.500 0.500 0.500
```

Summary:
* space group: P4/mmm, No. 123
* DOS at the Fermi energy: 6.6 states/eV/f.u.
* crystal system: tetragonal
* calculated volume: 27.4 Å³/atom
* raw formation energy: -0.841 eV per atom


No. 4
## Th2PaTe4 (PBE-GGA)

Data for an optimized crystal structure of Th2PaTe4.

Structure (POSCAR):
```
Th2PaTe4
1.0
4.133 0.000 0.000
-2.066 7.168 0.000
0.000 0.000 15.806
Th Pa Te
4 2 8
direct
0.154 0.308 0.440
0.846 0.692 0.940
0.154 0.308 0.060
0.846 0.692 0.560
0.600 0.200 0.750
0.400 0.800 0.250
0.797 0.594 0.136
0.797 0.594 0.364
0.203 0.406 0.864
0.203 0.406 0.636
0.935 0.870 0.750
0.065 0.130 0.250
0.500 0.000 0.000
0.500 0.000 0.500
```

Summary:
* space group: Cmcm, No. 63
* DOS at the Fermi energy: 8.6 states/eV/f.u.
* crystal system: orthorhombic
* calculated volume: 33.4 Å³/atom
* raw formation energy: -0.887 eV per atom


no.,magnetic moment (Bohr magnetons per cell)
1,0.004
2,0.000
3,0.985
4,2.225